No. 1
PaPtSe GGA-PBE optimized geometry; formation energy without anion corrections = -1.214 eV/atom; density of states at the Fermi level = 3.60 states/eV/f.u.; E_tot = -45.329 eV per cell; symmetry = No. 129; calculated volume = 130.52 Å³ per cell
1.0
3.952 0.000 0.000
0.000 3.952 0.000
0.000 0.000 8.358
Se Pa Pt
2 2 2
direct
0.500 0.000 0.126
0.000 0.500 0.874
0.000 0.500 0.244
0.500 0.000 0.756
0.500 0.500 0.500
0.000 0.000 0.500

***

No. 2
Sm5ZrZn6 GGA-PBE optimized geometry; energy of formation = -328 kJ/mol of formula units; density of states at the Fermi level = 12.01 states/eV/f.u.; E_tot = -43.189 eV per cell; symmetry = No. 71; calculated volume = 276.15 Å³ per cell
1.0
-0.929 -0.499 4.964
5.661 -4.272 0.630
6.786 3.683 4.231
Sm Zn Zr
5 6 1
direct
0.675 0.175 0.650
0.000 0.500 0.000
0.338 0.338 0.323
0.662 0.662 0.677
0.325 0.825 0.350
0.500 0.214 0.000
0.158 0.389 0.684
0.842 0.611 0.316
0.500 0.786 0.000
0.842 0.073 0.316
0.158 0.927 0.684
0.000 0.000 0.000

***

No. 3
MgSiIr2 GGA-PBE optimized geometry; formation energy without anion corrections = -0.321 eV/atom; density of states at the Fermi level = 2.71 states/eV/f.u.; E_tot = -26.024 eV per cell; symmetry = No. 12; calculated volume = 58.34 Å³ per cell
1.0
4.408 -0.010 -0.009
3.480 2.706 -0.009
0.956 0.327 4.876
Ir Mg Si
2 1 1
direct
0.011 0.011 0.979
0.489 0.489 0.521
0.250 0.250 0.250
0.750 0.750 0.750

***

No. 4
SrCd4Ga2 GGA-PBE optimized geometry; energy of formation = -167 kJ/mol of formula units; density of states at the Fermi level = 2.36 states/eV/f.u.; E_tot = -13.128 eV per cell; symmetry = No. 65; calculated volume = 164.58 Å³ per cell
1.0
4.546 0.000 0.000
0.000 4.551 0.000
0.000 -2.275 7.956
Cd Ga Sr
4 2 1
direct
0.000 0.317 0.634
0.500 0.180 0.359
0.500 0.820 0.641
0.000 0.683 0.366
0.500 0.580 0.159
0.500 0.420 0.841
0.000 0.000 0.000

***

No. 5
CrTe2I GGA-PBE optimized geometry; formation energy without anion corrections = -0.061 eV/atom; offset from the most stable computed form = 152 meV/atom; density of states at the Fermi level = 2.04 states/eV/f.u.; E_tot = -70.804 eV per cell; symmetry = No. 62; calculated volume = 493.72 Å³ per cell
1.0
-5.509 -4.650 -2.058
2.041 -2.959 1.222
-7.172 1.540 15.716
Te Cr I
8 4 4
direct
0.416 0.250 0.766
0.916 0.250 0.734
0.084 0.750 0.266
0.864 0.250 0.420
0.136 0.750 0.580
0.636 0.750 0.920
0.364 0.250 0.080
0.584 0.750 0.234
0.110 0.750 0.419
0.390 0.250 0.919
0.890 0.250 0.581
0.610 0.750 0.081
0.634 0.750 0.582
0.866 0.250 0.082
0.134 0.750 0.918
0.366 0.250 0.418

***

No. 6
NaCoAg2Pd GGA-PBE optimized geometry; energy of formation = 607 kJ/mol of formula units; density of states at the Fermi level = 2.01 states/eV/f.u.; E_tot = -13.026 eV per cell; symmetry = No. 123; calculated volume = 106.13 Å³ per cell
1.0
4.756 0.000 0.000
0.000 4.693 0.000
0.000 0.000 4.756
Co Ag Na Pd
1 2 1 1
direct
0.500 0.500 0.500
0.000 0.000 0.500
0.500 0.000 0.000
0.000 0.000 0.000
0.000 0.500 0.000

***

No. 7
AgP3 GGA-PBE optimized geometry; energy of formation = 187 kJ/mol of formula units; offset from the most stable computed form = 301 meV/atom; density of states at the Fermi level = 1.45 states/eV/f.u.; E_tot = -34.281 eV per cell; symmetry = No. 139; calculated volume = 134.39 Å³ per cell
1.0
-1.743 1.743 11.060
1.743 -1.743 11.060
1.743 1.743 -11.060
P Ag
6 2
direct
0.250 0.750 0.500
0.000 0.500 0.500
0.750 0.250 0.500
0.918 0.918 0.000
0.082 0.082 0.000
0.500 0.000 0.500
0.644 0.644 0.000
0.356 0.356 0.000

***

No. 8
Ca5MnPb3 GGA-PBE optimized geometry; energy of formation = -264 kJ/mol of formula units; density of states at the Fermi level = 4.33 states/eV/f.u.; E_tot = -66.067 eV per cell; symmetry = No. 193; calculated volume = 537.16 Å³ per cell
1.0
4.741 -8.211 0.000
4.741 8.211 0.000
0.000 0.000 6.900
Pb Ca Mn
6 10 2
direct
0.360 0.000 0.750
0.360 0.360 0.250
0.000 0.640 0.250
0.640 0.000 0.250
0.640 0.640 0.750
0.000 0.360 0.750
0.706 0.000 0.750
0.294 0.294 0.750
0.667 0.333 0.500
0.333 0.667 0.500
0.667 0.333 0.000
0.000 0.294 0.250
0.706 0.706 0.250
0.333 0.667 0.000
0.000 0.706 0.750
0.294 0.000 0.250
0.000 0.000 0.500
0.000 0.000 0.000

***

No. 9
LiHf2Al2 GGA-PBE optimized geometry; energy of formation = -3 kJ/mol of formula units; offset from the most stable computed form = 91 meV/atom; density of states at the Fermi level = 3.93 states/eV/f.u.; E_tot = -58.666 eV per cell; symmetry = No. 127; calculated volume = 210.72 Å³ per cell
1.0
-3.920 6.303 -4.066
-2.865 -5.498 -5.761
-2.410 -0.449 1.627
Hf Al Li
4 4 2
direct
0.126 0.374 0.000
0.626 0.126 0.000
0.874 0.626 0.000
0.374 0.874 0.000
0.670 0.830 0.500
0.170 0.670 0.500
0.830 0.330 0.500
0.330 0.170 0.500
0.000 0.000 0.000
0.500 0.500 0.000

***

No. 10
Pm3Ag4SnS8 GGA-PBE optimized geometry; formation energy without anion corrections = -0.993 eV/atom; density of states at the Fermi level = 1.67 states/eV/f.u.; E_tot = -78.571 eV per cell; symmetry = No. 12; calculated volume = 354.89 Å³ per cell
1.0
-0.159 -7.987 1.820
7.496 0.283 1.897
-5.521 5.066 3.305
S Sn Ag Pm
8 1 4 3
direct
0.753 0.251 0.506
0.246 0.749 0.004
0.754 0.251 0.996
0.251 0.253 0.501
0.749 0.747 0.499
0.247 0.749 0.494
0.243 0.251 0.996
0.757 0.749 0.004
0.000 0.500 0.000
0.500 0.000 0.000
0.500 0.000 0.500
0.000 0.000 0.500
0.000 0.000 0.000
0.500 0.500 0.500
0.500 0.500 0.000
0.000 0.500 0.500

***

No. 11
InRhSe2 GGA-PBE optimized geometry; formation energy without anion corrections = -0.026 eV/atom; density of states at the Fermi level = 1.73 states/eV/f.u.; E_tot = -17.161 eV per cell; symmetry = No. 123; calculated volume = 83.11 Å³ per cell
1.0
-2.883 -0.845 1.009
0.320 -2.806 -1.437
3.335 -3.149 6.892
In Se Rh
1 2 1
direct
0.500 0.500 0.250
0.000 0.000 0.567
0.000 0.000 0.933
0.500 0.500 0.750

***

No. 12
CrIr2Rh GGA-PBE optimized geometry; energy of formation = 119 kJ/mol of formula units; density of states at the Fermi level = 4.43 states/eV/f.u.; E_tot = -33.459 eV per cell; symmetry = No. 225; calculated volume = 56.40 Å³ per cell
1.0
2.286 1.367 3.382
-1.847 0.271 3.879
1.107 -2.764 3.109
Ir Cr Rh
2 1 1
direct
0.250 0.250 0.250
0.750 0.750 0.750
0.000 0.000 0.000
0.500 0.500 0.500

***

No. 13
Ba2Mg4Ir GGA-PBE optimized geometry; energy of formation = -67 kJ/mol of formula units; density of states at the Fermi level = 5.69 states/eV/f.u.; E_tot = -19.775 eV per cell; symmetry = No. 139; calculated volume = 241.90 Å³ per cell
1.0
5.161 0.000 0.000
0.000 5.161 0.000
2.581 2.581 9.080
Ba Mg Ir
2 4 1
direct
0.654 0.654 0.692
0.346 0.346 0.308
0.000 0.500 0.000
0.862 0.862 0.277
0.138 0.138 0.723
0.500 0.000 0.000
0.000 0.000 0.000

***

No. 14
CsNaU4N8 GGA-PBE optimized geometry; formation energy without anion corrections = -1.056 eV/atom; density of states at the Fermi level = 10.76 states/eV/f.u.; E_tot = -128.708 eV per cell; symmetry = No. 160; calculated volume = 308.40 Å³ per cell
1.0
7.008 0.000 0.000
3.504 6.069 0.000
3.504 2.023 7.252
N U Na Cs
8 4 1 1
direct
0.735 0.735 0.321
0.803 0.803 0.592
0.735 0.210 0.321
0.314 0.314 0.579
0.314 0.794 0.579
0.210 0.735 0.321
0.218 0.218 0.347
0.794 0.314 0.579
0.009 0.009 0.470
0.009 0.511 0.470
0.525 0.525 0.424
0.511 0.009 0.470
0.969 0.969 0.093
0.356 0.356 0.933

***

No. 15
Na2ThCdSe4 GGA-PBE optimized geometry; formation energy without anion corrections = -1.248 eV/atom; E_tot = -34.895 eV per cell; symmetry = No. 10; calculated volume = 213.93 Å³ per cell
1.0
-3.378 1.732 -1.861
-3.986 -1.595 5.752
3.038 6.803 0.816
Cd Na Th Se
1 2 1 4
direct
0.000 0.000 0.000
0.500 0.000 0.500
0.000 0.500 0.500
0.500 0.500 0.000
0.500 0.236 0.223
0.000 0.737 0.242
0.500 0.764 0.777
0.000 0.263 0.758

***

No. 16
Nb3HgC GGA-PBE optimized geometry; energy of formation = -46 kJ/mol of formula units; offset from the most stable computed form = 0 meV/atom; density of states at the Fermi level = 5.53 states/eV/f.u.; E_tot = -40.208 eV per cell; symmetry = No. 221; calculated volume = 82.34 Å³ per cell
1.0
4.351 0.000 0.000
0.000 4.351 0.000
0.000 0.000 4.351
Nb Hg C
3 1 1
direct
0.000 0.000 0.500
0.000 0.500 0.000
0.500 0.000 0.000
0.500 0.500 0.500
0.000 0.000 0.000

***

No. 17
AsOsPt GGA-PBE optimized geometry; energy of formation = 140 kJ/mol of formula units; offset from the most stable computed form = 298 meV/atom; density of states at the Fermi level = 3.28 states/eV/f.u.; E_tot = -20.470 eV per cell; symmetry = No. 42; calculated volume = 48.72 Å³ per cell
1.0
-4.719 -2.152 5.561
-5.125 -3.956 3.488
1.628 -0.738 2.126
As Pt Os
1 1 1
direct
0.987 0.987 0.013
0.674 0.674 0.326
0.339 0.339 0.661

***

No. 18
KZnNiW2 GGA-PBE optimized geometry; energy of formation = 1578 kJ/mol of formula units; density of states at the Fermi level = 5.90 states/eV/f.u.; E_tot = -17.709 eV per cell; symmetry = No. 123; calculated volume = 93.34 Å³ per cell
1.0
-3.560 -1.029 -2.816
1.107 -4.162 0.121
-2.750 -0.624 3.703
Zn W K Ni
1 2 1 1
direct
0.500 0.500 0.500
0.500 0.000 0.000
0.000 0.000 0.500
0.000 0.000 0.000
0.000 0.500 0.000

***

No. 19
KLiBi2 GGA-PBE optimized geometry; energy of formation = -112 kJ/mol of formula units; offset from the most stable computed form = 0 meV/atom; density of states at the Fermi level = 2.52 states/eV/f.u.; E_tot = -11.939 eV per cell; symmetry = No. 123; calculated volume = 124.87 Å³ per cell
1.0
4.001 0.000 0.000
0.000 4.001 0.000
0.000 0.000 7.802
Bi Li K
2 1 1
direct
0.000 0.000 0.190
0.000 0.000 0.810
0.500 0.500 0.000
0.500 0.500 0.500

***

No. 20
Pm6SiGe2Br3 GGA-PBE optimized geometry; formation energy without anion corrections = -1.126 eV/atom; density of states at the Fermi level = 5.04 states/eV/f.u.; E_tot = -61.698 eV per cell; symmetry = No. 12; calculated volume = 342.16 Å³ per cell
1.0
-1.689 1.558 3.602
2.928 -6.968 4.387
7.844 5.624 -1.288
Br Pm Ge Si
3 6 2 1
direct
0.833 0.167 0.666
0.167 0.833 0.334
0.500 0.500 0.000
0.007 0.226 0.014
0.325 0.438 0.651
0.343 0.900 0.687
0.675 0.562 0.349
0.993 0.774 0.986
0.657 0.100 0.313
0.167 0.332 0.334
0.833 0.668 0.666
0.500 0.000 0.000

***

No. 21
CaScNi2 GGA-PBE optimized geometry; energy of formation = -48 kJ/mol of formula units; offset from the most stable computed form = 154 meV/atom; density of states at the Fermi level = 2.06 states/eV/f.u.; E_tot = -20.397 eV per cell; symmetry = No. 44; calculated volume = 80.12 Å³ per cell
1.0
-3.936 -3.315 -3.725
-2.297 -5.895 0.574
0.990 5.646 2.738
Ca Sc Ni
1 1 2
direct
0.222 0.722 0.500
0.485 0.485 0.000
0.829 0.329 0.500
0.963 0.963 0.000

***

No. 22
LaBe GGA-PBE optimized geometry; energy of formation = 46 kJ/mol of formula units; offset from the most stable computed form = 196 meV/atom; density of states at the Fermi level = 2.36 states/eV/f.u.; E_tot = -8.182 eV per cell; symmetry = No. 221; calculated volume = 46.83 Å³ per cell
1.0
-0.005 3.224 1.611
-3.598 0.093 -0.198
-0.219 -1.608 3.218
Be La
1 1
direct
0.500 0.500 0.500
0.000 0.000 0.000

***

No. 23
ZrCu2AgP GGA-PBE optimized geometry; energy of formation = 783 kJ/mol of formula units; density of states at the Fermi level = 5.55 states/eV/f.u.; E_tot = -16.891 eV per cell; symmetry = No. 123; calculated volume = 123.10 Å³ per cell
1.0
-4.061 2.515 0.736
-2.848 -4.356 -0.827
0.214 -1.035 4.716
Cu Zr P Ag
2 1 1 1
direct
0.500 0.000 0.000
0.000 0.000 0.500
0.000 0.000 0.000
0.500 0.500 0.500
0.000 0.500 0.000

***

No. 24
Pm4SmAg4 GGA-PBE optimized geometry; energy of formation = -19 kJ/mol of formula units; density of states at the Fermi level = 10.31 states/eV/f.u.; E_tot = -70.643 eV per cell; symmetry = No. 86; calculated volume = 531.07 Å³ per cell
1.0
6.482 0.000 0.000
0.000 9.051 0.000
0.000 0.000 9.051
Ag Sm Pm
8 2 8
direct
0.366 0.614 0.779
0.866 0.721 0.114
0.366 0.386 0.221
0.634 0.779 0.386
0.634 0.221 0.614
0.134 0.114 0.279
0.134 0.886 0.721
0.866 0.279 0.886
0.000 0.000 0.000
0.500 0.500 0.500
0.396 0.290 0.909
0.104 0.210 0.591
0.396 0.710 0.091
0.604 0.909 0.710
0.104 0.790 0.409
0.896 0.591 0.790
0.896 0.409 0.210
0.604 0.091 0.290